MoSCl, optimized geometry, DFT PBE; calculated density = 4.60 g/cm3; calculated volume = 19.681 Å³ per atom; energy = -0.4768 Ry per atom; space group = F-43m (216); ΔE_f (raw) = -885 meV per atom
1.0
0.0000 4.9060 4.9060
4.9060 0.0000 4.9060
4.9060 4.9060 0.0000
Mo S Cl
4 4 4
Cartesian
3.9147 3.9147 3.9147
5.8973 5.8973 3.9147
5.8973 3.9147 5.8973
3.9147 5.8973 5.8973
6.2181 3.5939 3.5939
3.5939 6.2181 3.5939
3.5939 3.5939 6.2181
6.2181 6.2181 6.2181
1.2975 1.2975 1.2975
3.6085 3.6085 1.2975
3.6085 1.2975 3.6085
1.2975 3.6085 3.6085

=====

Mo3SCl7, optimized geometry, DFT PBE; calculated density = 3.51 g/cm3; calculated volume = 24.444 Å³ per atom; energy = -0.3969 Ry per atom; space group = Cm (8); ΔE_f (raw) = -896 meV per atom
1.0
5.8551 -3.3114 0.0000
5.8551 3.3114 0.0000
-5.7081 0.0000 6.9341
Mo S Cl
3 1 7
Cartesian
0.0000 0.0000 0.0000
2.4627 1.3107 0.0383
2.4627 -1.3107 0.0383
-4.0848 0.0000 5.2203
-1.1595 1.6323 5.6298
6.5911 1.7312 1.6576
3.6291 0.0000 1.7037
-1.1595 -1.6323 5.6298
1.7689 0.0000 5.6864
9.4665 0.0000 1.3145
6.5911 -1.7312 1.6576

=====

MoSCl, optimized geometry, DFT PBE; calculated density = 4.02 g/cm3; calculated volume = 22.530 Å³ per atom; energy = -0.4733 Ry per atom; space group = C2/m (12); ΔE_f (raw) = -838 meV per atom
1.0
7.5645 -1.6428 0.0000
7.5645 1.6428 0.0000
-2.2273 0.0000 5.4389
Mo S Cl
2 2 2
Cartesian
3.2846 0.0000 0.9514
9.6171 0.0000 4.4876
5.5185 0.0000 0.2377
7.3832 0.0000 5.2012
1.2427 0.0000 2.5815
11.6590 0.0000 2.8574

=====

MoS2Cl, optimized geometry, DFT PBE; calculated density = 3.20 g/cm3; calculated volume = 25.337 Å³ per atom; energy = -0.3920 Ry per atom; space group = I-42d (122); polymorph energy (0 for the lowest one) = 198 meV/atom; ΔE_f (raw) = -101 meV per atom
1.0
-3.2461 3.2461 4.8089
3.2461 -3.2461 4.8089
3.2461 3.2461 -4.8089
Mo S Cl
2 4 2
Cartesian
0.0000 0.0000 0.0000
0.0000 3.2461 2.4045
4.8692 0.9764 -1.2022
0.9764 1.6231 1.2022
-1.6231 2.2697 3.6067
2.2697 1.6231 6.0111
3.2461 0.0000 2.4045
0.0000 0.0000 4.8089

=====

MoSCl, optimized geometry, DFT PBE; calculated density = 5.09 g/cm3; calculated volume = 17.793 Å³ per atom; energy = -0.4314 Ry per atom; space group = Pmc2_1 (26); ΔE_f (raw) = -267 meV per atom
1.0
3.1662 0.0000 0.0000
0.0000 5.8363 0.0000
0.0000 0.0000 5.7773
Mo S Cl
2 2 2
Cartesian
0.0000 1.0126 0.0000
0.0000 4.8237 2.8886
1.5831 0.5410 1.8510
1.5831 5.2953 4.7397
0.0000 2.4823 3.8755
0.0000 3.3540 0.9869

=====

Mo3S7Cl4, optimized geometry, DFT PBE; calculated density = 2.83 g/cm3; calculated volume = 27.435 Å³ per atom; energy = -0.4140 Ry per atom; space group = P2_1/c (14); ΔE_f (raw) = -721 meV per atom
1.0
10.0443 0.0000 0.0000
0.0000 12.2548 0.0000
-7.1675 0.0000 12.4815
Mo S Cl
12 28 16
Cartesian
-0.9115 1.8145 3.4344
-4.4953 4.3129 9.6752
-4.3625 1.5856 9.6881
-0.7788 4.5418 3.4473
1.5526 3.0632 3.4476
-2.0311 3.0642 9.6884
4.9079 9.1906 2.7932
1.3242 9.1916 9.0340
3.6556 7.7130 9.0343
7.2393 10.6692 2.7935
7.3721 7.9419 2.8063
3.7883 10.4403 9.0471
-3.6413 2.9780 7.9262
-0.0576 3.1494 1.6855
-5.5619 2.9012 11.3089
-1.9781 3.2262 5.0681
-4.2370 8.9758 9.2161
-0.6533 9.4064 2.9753
1.2701 0.5735 3.3470
-2.3137 5.5539 9.5878
-2.0726 0.5575 9.6148
1.5111 5.5699 3.3740
0.7938 1.4758 5.0991
-2.7899 4.6516 11.3399
-2.6336 1.4290 11.3564
0.9502 4.6984 5.1157
1.9267 7.5564 7.3659
5.5104 10.8258 1.1251
5.6667 7.6032 1.1417
2.0830 10.7790 7.3824
1.3657 6.6849 9.1075
4.9495 11.6974 2.8667
5.1905 6.7009 2.8938
1.6067 11.6813 9.1345
3.5301 2.8484 9.5062
7.1138 3.2790 3.2655
4.8549 9.0286 7.4134
8.4387 9.3536 1.1727
2.9344 9.1054 10.7961
6.5182 9.2768 4.5553
-5.6897 6.2179 10.9066
-2.1059 12.1643 4.6658
-1.8074 6.5420 4.6865
-5.3912 11.8403 10.9273
2.7887 9.0705 1.5728
-0.7950 9.3117 7.8135
3.1398 3.0038 1.5208
-0.4439 3.1236 7.7615
3.3208 9.1312 4.7200
-0.2630 9.2510 10.9608
3.6718 2.9431 4.6680
0.0881 3.1843 10.9088
8.2680 0.4145 1.5543
4.6842 5.7129 7.7950
4.9828 0.0905 7.8157
8.5665 6.0369 1.5749

=====

Q: Which formula does entry 2 have?
A: Mo3SCl7

=====

Please write out number 3 again, unchanged.
MoSCl, optimized geometry, DFT PBE; calculated density = 4.02 g/cm3; calculated volume = 22.530 Å³ per atom; energy = -0.4733 Ry per atom; space group = C2/m (12); ΔE_f (raw) = -838 meV per atom
1.0
7.5645 -1.6428 0.0000
7.5645 1.6428 0.0000
-2.2273 0.0000 5.4389
Mo S Cl
2 2 2
Cartesian
3.2846 0.0000 0.9514
9.6171 0.0000 4.4876
5.5185 0.0000 0.2377
7.3832 0.0000 5.2012
1.2427 0.0000 2.5815
11.6590 0.0000 2.8574

=====

Q: The highest ΔE_f (raw) belongs to which entry?
A: MoS2Cl

=====

Q: Among the records above, which one has the lowest energy?
A: number 1